Arrangement a

Computed, not measured: Br3ClF after structural relaxation at the PBE level of DFT.

a b c (Å): 4.121 5.393 17.079
angles (deg): 82.64 89.95 89.34
Element x y z (fractional)
Br  0.000  0.000  0.000
Br  0.001  0.144  0.368
Br  0.006  0.586  0.138
Br  0.987  0.746  0.757
Br  0.994  0.331  0.895
Br  0.999  0.186  0.527
Cl  0.003  0.895  0.274
Cl  0.994  0.436  0.621
F  0.486  0.799  0.759
F  0.507  0.533  0.137



Arrangement b

Computed, not measured: Br3ClF after structural relaxation at the PBE level of DFT.

a b c (Å): 4.998 4.998 4.998
angles (deg): 90.00 90.00 90.00
Element x y z (fractional)
Br  0.000  0.000  0.500
Br  0.000  0.500  0.000
Br  0.500  0.000  0.000
Cl  0.500  0.500  0.500
F  0.000  0.000  0.000



Arrangement c

Computed, not measured: Br3ClF after structural relaxation at the PBE level of DFT.

a b c (Å): 5.257 5.257 5.257
angles (deg): 90.00 90.00 90.00
Element x y z (fractional)
Br  0.000  0.000  0.500
Br  0.000  0.500  0.000
Br  0.500  0.000  0.000
Cl  0.000  0.000  0.000
F  0.500  0.500  0.500



Relative stability in kJ/mol of atoms, measured from the most stable structure: arrangement a 0.0; arrangement b 68.6; arrangement c 63.3



Arrangement a

Computed, not measured: Br2ClF after structural relaxation at the PBE level of DFT.

a b c (Å): 4.982 4.982 16.955
angles (deg): 90.00 90.00 90.00
Element x y z (fractional)
Br  0.078  0.250  0.125
Br  0.250  0.578  0.375
Br  0.250  0.922  0.875
Br  0.422  0.250  0.625
Br  0.578  0.750  0.625
Br  0.750  0.078  0.875
Br  0.750  0.422  0.375
Br  0.922  0.750  0.125
Cl  0.000  0.000  0.500
Cl  0.000  0.500  0.750
Cl  0.500  0.000  0.250
Cl  0.500  0.500  0.000
F  0.000  0.000  0.000
F  0.000  0.500  0.250
F  0.500  0.000  0.750
F  0.500  0.500  0.500



Arrangement b

Computed, not measured: Br2ClF after structural relaxation at the PBE level of DFT.

a b c (Å): 3.643 3.643 25.552
angles (deg): 90.00 90.00 120.00
Element x y z (fractional)
Br  0.000  0.000  0.083
Br  0.000  0.000  0.917
Br  0.333  0.667  0.584
Br  0.333  0.667  0.749
Br  0.667  0.333  0.251
Br  0.667  0.333  0.416
Cl  0.000  0.000  0.500
Cl  0.333  0.667  0.167
Cl  0.667  0.333  0.833
F  0.000  0.000  0.000
F  0.333  0.667  0.667
F  0.667  0.333  0.333



Relative stability in kJ/mol of atoms, measured from the most stable structure: arrangement a 7.6; arrangement b 0.0